This record from Alexandria describes crystalline ZrCrPb3 at its relaxed geometry. The functional is GGA-PBE.

Structure (CIF):
```
data_ZrCrPb3
_chemical_formula_sum 'Zr1 Cr1 Pb3'
_space_group_name_H-M_alt 'P 1'
_space_group_IT_number 1
_cell_length_a 5.655
_cell_length_b 5.655
_cell_length_c 5.655
_cell_angle_alpha 90.00
_cell_angle_beta 90.00
_cell_angle_gamma 90.00
loop_
_space_group_symop_operation_xyz
'x,y,z'
loop_
_atom_site_label
_atom_site_fract_x
_atom_site_fract_y
_atom_site_fract_z
_atom_site_occupancy
Zr1 0.000 0.000 0.000 1
Cr1 0.500 0.500 0.500 1
Pb1 0.000 0.000 0.500 1
Pb2 0.000 0.500 0.000 1
Pb3 0.500 0.000 0.000 1
```

Calculated values
As for the space group: Pm-3m, No. 221. The energy of formation from the pure elements is 816 meV per atom. The total energy is -5.04 eV per atom.